Record 1
Compound: DyYSn2
Source: the Alexandria database
Functional: PBE
Structure: optimized geometry

Calculated values
Its space group is R-3m (166). Its crystal system is trigonal. The total energy comes out at -5.3108 eV per atom. For the formation energy, the calculation gives -0.543 eV per atom.

Cell lengths 9.099, 9.099, 9.099 Å; angles 24.72, 24.72, 24.72 degrees
Positions (direct):
Dy 0.000 0.000 0.000
Y 0.500 0.500 0.500
Sn 0.250 0.250 0.250
Sn 0.750 0.750 0.750


Record 2
Compound: DyY2Sn
Source: the Alexandria database
Functional: PBE
Structure: optimized geometry

Calculated values
Its space group is P4/mmm (123). The value obtained for the energy above the most stable polymorph in this dataset is 107.7 meV per atom. Its crystal system is tetragonal. The total energy comes out at -5.6920 eV per atom. For the formation energy, the calculation gives -0.309 eV per atom.

Cell lengths 3.772, 3.772, 8.382 Å; angles 90.00, 90.00, 90.00 degrees
Positions (direct):
Dy 0.000 0.000 0.000
Y 0.500 0.500 0.279
Y 0.500 0.500 0.721
Sn 0.000 0.000 0.500


Record 3
Compound: Dy4Y3Sn4
Source: the Alexandria database
Functional: PBE
Structure: optimized geometry

Calculated values
Its space group is Immm (71). Its crystal system is orthorhombic. The total energy comes out at -5.4253 eV per atom. For the formation energy, the calculation gives -0.533 eV per atom.

Cell lengths 10.605, 10.605, 10.605 Å; angles 160.65, 126.47, 57.46 degrees
Positions (direct):
Dy 0.018 0.836 0.182
Dy 0.346 0.164 0.182
Dy 0.654 0.836 0.818
Dy 0.982 0.164 0.818
Y 0.000 0.500 0.500
Y 0.407 0.407 0.000
Y 0.593 0.593 0.000
Sn 0.271 0.771 0.500
Sn 0.279 0.000 0.279
Sn 0.721 0.000 0.721
Sn 0.729 0.229 0.500